Density functional theory data (PBE) for a relaxed NpHRh crystal.

* energy relative to the lowest polymorph listed for this composition: 0 meV per atom
* SG: Pnma
* final energy: -96.7 eV per cell

a = 6.3370 Å, b = 4.7927 Å, c = 5.6150 Å
α = 90.00°, β = 90.00°, γ = 90.00°
Positions (direct):
Np 0.1372 0.2500 0.0920
Np 0.3628 0.7500 0.5920
Np 0.6372 0.2500 0.4080
Np 0.8628 0.7500 0.9080
H 0.1405 0.7500 0.2233
H 0.3595 0.2500 0.7233
H 0.6405 0.7500 0.2767
H 0.8595 0.2500 0.7767
Rh 0.1012 0.2500 0.5877
Rh 0.3988 0.7500 0.0877
Rh 0.6012 0.2500 0.9123
Rh 0.8988 0.7500 0.4123